Version A
Here is a geometry-optimized PmInIr structure from Alexandria via LeMat-Bulk. Energies are from PBE-GGA.

Cell lengths 3.5070, 4.7372, 4.7372 Å; angles 120.00, 90.00, 90.00 degrees
Element x y z (fractional)
1 Ir 0.1667 0.0000 0.0000
2 In 0.1667 0.3333 0.6667
3 Pm 0.6667 0.6667 0.3333

Results
D(E_F): 1.931 states/eV/cell
space-group type: P-6m2 (187)

Version B
Here is a geometry-optimized PmInIr structure from Alexandria via LeMat-Bulk. Energies are from PBE-GGA.

Cell lengths 4.2080, 7.4963, 12.8904 Å; angles 88.70, 90.00, 90.00 degrees
Element x y z (fractional)
1 Pm 0.7500 0.5395 0.3777
2 Pm 0.2500 0.9515 0.7147
3 Pm 0.7500 0.0485 0.2853
4 Pm 0.7500 0.6560 0.0811
5 Pm 0.2500 0.4605 0.6223
6 Pm 0.2500 0.3440 0.9189
7 In 0.2500 0.9945 0.0864
8 In 0.2500 0.8582 0.4562
9 In 0.7500 0.6203 0.7960
10 In 0.7500 0.1418 0.5438
11 In 0.2500 0.3797 0.2040
12 In 0.7500 0.0055 0.9136
13 Ir 0.2500 0.7535 0.9155
14 Ir 0.7500 0.2529 0.7490
15 Ir 0.7500 0.7536 0.5850
16 Ir 0.7500 0.2465 0.0845
17 Ir 0.2500 0.2464 0.4150
18 Ir 0.2500 0.7471 0.2510

Results
D(E_F): 10.746 states/eV/cell
space-group type: P2_1/m (11)

Version C
Here is a geometry-optimized PmInIr structure from Alexandria via LeMat-Bulk. Energies are from PBE-GGA.

Cell lengths 6.9853, 6.9853, 8.4348 Å; angles 115.86, 115.86, 86.95 degrees
Element x y z (fractional)
1 Pm 0.6472 0.6472 0.2945
2 Pm 0.3528 0.3528 0.7055
3 Pm 0.6028 0.1028 0.2055
4 Pm 0.8972 0.3972 0.7945
5 Ir 0.9641 0.4641 0.5000
6 Ir 0.7141 0.7141 0.0000
7 Ir 0.5359 0.0359 0.5000
8 Ir 0.2859 0.2859 0.0000
9 In 0.1250 0.3750 0.2500
10 In 0.1250 0.8750 0.7500
11 In 0.1250 0.8750 0.2500
12 In 0.6250 0.8750 0.7500

Results
D(E_F): 6.484 states/eV/cell
space-group type: Fddd (70)

Most stable structure - version B; separation to the second - 0.220 eV/atom.

Version A
Here is a geometry-optimized PmInIr structure from Alexandria via LeMat-Bulk. Energies are from PBE-GGA.

Cell lengths 3.3788, 3.3788, 6.3540 Å; angles 105.42, 105.42, 90.00 degrees
Element x y z (fractional)
1 Ir 0.9428 0.9428 0.8856
2 Pm 0.5968 0.5968 0.1937
3 In 0.3103 0.3103 0.6207

Results
D(E_F): 2.323 states/eV/cell
space-group type: I4mm (107)

Version B
Here is a geometry-optimized PmInIr structure from Alexandria via LeMat-Bulk. Energies are from PBE-GGA.

Cell lengths 4.7035, 7.4445, 9.4025 Å; angles 91.40, 104.48, 90.00 degrees
Element x y z (fractional)
1 Pm 0.9178 0.6837 0.8356
2 Pm 0.5762 0.8450 0.1524
3 Pm 0.4238 0.1550 0.8476
4 Pm 0.0822 0.3163 0.1644
5 In 0.7926 0.3665 0.5852
6 In 0.2417 0.1249 0.4834
7 In 0.2074 0.6335 0.4148
8 In 0.7583 0.8751 0.5166
9 Ir 0.6505 0.5241 0.3011
10 Ir 0.3403 0.8392 0.6806
11 Ir 0.3495 0.4759 0.6989
12 Ir 0.6597 0.1608 0.3194

Results
D(E_F): 10.672 states/eV/cell
space-group type: C2/m (12)

Most stable structure - version A; separation to the second - 0.188 eV/atom.